Na3CoC | SCAN | single point on PBEsol structure

Cell: 4.8637 4.8637 4.8637 Å, 90.00 90.00 90.00°
Last column: nearest neighbours and their distance in Å.
Sites, in units of the cell vectors:
Na 0.0000 0.0000 0.5000  2 C 2.43
Na 0.0000 0.5000 0.0000  2 C 2.43
Na 0.5000 0.0000 0.0000  2 C 2.43
Co 0.5000 0.5000 0.5000  12 Na 3.44
C 0.0000 0.0000 0.0000  6 Na 2.43

Calculated values
symmetry	Pm-3m (221)
energy relative to the elements	1.16	eV per atom
size of the total moment	4.00	μB/cell
Fermi-level density of states	1.1	states/eV/cell


Li4CuF7 | SCAN | single point on PBEsol structure

Cell: 7.3755 7.3755 5.4165 Å, 101.92 101.92 71.66°
Last column: nearest neighbours and their distance in Å.
Sites, in units of the cell vectors:
Li 0.0792 0.1830 0.1954  4 F 1.83-1.91
Li 0.1830 0.0792 0.6954  4 F 1.83-1.91
Li 0.2366 0.4638 0.6312  4 F 1.80-1.97
Li 0.4638 0.2366 0.1312  4 F 1.80-1.97
Li 0.5362 0.7634 0.8688  4 F 1.80-1.97
Li 0.7634 0.5362 0.3688  4 F 1.80-1.97
Li 0.8170 0.9208 0.3046  4 F 1.83-1.91
Li 0.9208 0.8170 0.8046  4 F 1.83-1.91
Cu 0.2724 0.7276 0.2500  5 F 1.86-1.87
Cu 0.7276 0.2724 0.7500  5 F 1.86-1.87
F 0.0565 0.9435 0.2500  1 Cu 1.86, 2 Li 1.91
F 0.0998 0.2908 0.5325  3 Li 1.80-1.83
F 0.1714 0.6575 0.9116  1 Cu 1.86, 2 Li 1.88-1.90
F 0.2908 0.0998 0.0325  3 Li 1.80-1.83
F 0.3200 0.4787 0.3234  1 Cu 1.87, 2 Li 1.93-1.97
F 0.3425 0.8286 0.5884  1 Cu 1.86, 2 Li 1.88-1.90
F 0.4787 0.3200 0.8234  1 Cu 1.87, 2 Li 1.93-1.97
F 0.5213 0.6800 0.1766  1 Cu 1.87, 2 Li 1.93-1.97
F 0.6575 0.1714 0.4116  1 Cu 1.86, 2 Li 1.88-1.90
F 0.6800 0.5213 0.6766  1 Cu 1.87, 2 Li 1.93-1.97
F 0.7092 0.9002 0.9675  3 Li 1.80-1.83
F 0.8286 0.3425 0.0884  1 Cu 1.86, 2 Li 1.88-1.90
F 0.9002 0.7092 0.4675  3 Li 1.80-1.83
F 0.9435 0.0565 0.7500  1 Cu 1.86, 2 Li 1.91

Calculated values
symmetry	C2/c (15)
ΔE to the lowest computed polymorph	62	meV per atom
energy relative to the elements, uncorrected	-2.57	eV/atom
size of the total moment	3.79	μB/cell


NbAl2W | SCAN | single point on PBEsol structure

Cell: 5.6618 5.6618 5.6618 Å, 103.48 103.48 122.27°
Last column: nearest neighbours and their distance in Å.
Sites, in units of the cell vectors:
Nb 0.0000 0.0000 0.0000  4 Al 2.60, 2 W 2.73
Nb 0.7500 0.2500 0.5000  4 Al 2.60, 2 W 2.73
Al 0.1317 0.6250 0.0067  2 W 2.54, 2 Nb 2.60, 2 Al 2.73
Al 0.3750 0.3817 0.5067  2 W 2.54, 2 Nb 2.60, 2 Al 2.73
Al 0.6183 0.1250 0.9933  2 W 2.54, 2 Nb 2.60, 2 Al 2.73
Al 0.8750 0.8683 0.4933  2 W 2.54, 2 Nb 2.60, 2 Al 2.73
W 0.2500 0.7500 0.5000  4 Al 2.54, 2 Nb 2.73
W 0.5000 0.5000 0.0000  4 Al 2.54, 2 Nb 2.73

Calculated values
symmetry	I-42d (122)
energy relative to the elements	0.36	eV per atom
size of the total moment	0.00	μB/cell
Fermi-level density of states	4.1	states/eV/cell